1.
# BeCd2Ag (PBE, relaxed)
# Symmetry: F-43m, No. 216
# Total DFT energy (no corrections): -7.22 eV per cell
data_BeCd2Ag
_space_group_name_H-M_alt 'P 1'
_space_group_IT_number 1
_space_group_name_Hall 'P 1'
_cell_length_a 4.590
_cell_length_b 4.590
_cell_length_c 4.590
_cell_angle_alpha 60.00
_cell_angle_beta 60.00
_cell_angle_gamma 60.00
loop_
_atom_site_label
_atom_site_fract_x
_atom_site_fract_y
_atom_site_fract_z
Be1 0.000 0.000 0.000
Cd1 0.500 0.500 0.500
Cd2 0.750 0.750 0.750
Ag1 0.250 0.250 0.250

---

2.
# HoMgAu3 (PBE, relaxed)
# Total moment: 0.00 Bohr magnetons per cell
# Symmetry: Cmmm, No. 65
# Total DFT energy (no corrections): -35.59 eV per cell
data_HoMgAu3
_space_group_name_H-M_alt 'P 1'
_space_group_IT_number 1
_space_group_name_Hall 'P 1'
_cell_length_a 14.724
_cell_length_b 14.724
_cell_length_c 3.826
_cell_angle_alpha 90.00
_cell_angle_beta 90.00
_cell_angle_gamma 164.24
loop_
_atom_site_label
_atom_site_fract_x
_atom_site_fract_y
_atom_site_fract_z
Ho1 0.121 0.879 0.000
Ho2 0.879 0.121 0.000
Mg1 0.298 0.702 0.500
Mg2 0.702 0.298 0.500
Au1 0.048 0.952 0.500
Au2 0.216 0.784 0.000
Au3 0.451 0.549 0.000
Au4 0.549 0.451 0.000
Au5 0.784 0.216 0.000
Au6 0.952 0.048 0.500

---

3.
# ZrCuTe2 (PBE, relaxed)
# Total moment: 0.01 Bohr magnetons per cell
# Symmetry: F-43m, No. 216
# Total DFT energy (no corrections): -17.80 eV per cell
data_ZrCuTe2
_space_group_name_H-M_alt 'P 1'
_space_group_IT_number 1
_space_group_name_Hall 'P 1'
_cell_length_a 5.050
_cell_length_b 5.050
_cell_length_c 5.050
_cell_angle_alpha 60.00
_cell_angle_beta 60.00
_cell_angle_gamma 60.00
loop_
_atom_site_label
_atom_site_fract_x
_atom_site_fract_y
_atom_site_fract_z
Zr1 0.000 0.000 0.000
Cu1 0.250 0.250 0.250
Te1 0.500 0.500 0.500
Te2 0.750 0.750 0.750

---

4.
# LuNbAu (PBE, relaxed)
# Formation energy from the elements: 0.715 eV/atom
# Total moment: 2.59 Bohr magnetons per cell
# Symmetry: F-43m, No. 216
# ΔE to the lowest computed polymorph: 527 meV/atom
data_LuNbAu
_space_group_name_H-M_alt 'P 1'
_space_group_IT_number 1
_space_group_name_Hall 'P 1'
_cell_length_a 4.672
_cell_length_b 4.672
_cell_length_c 4.672
_cell_angle_alpha 60.00
_cell_angle_beta 60.00
_cell_angle_gamma 60.00
loop_
_atom_site_label
_atom_site_fract_x
_atom_site_fract_y
_atom_site_fract_z
Lu1 0.000 0.000 0.000
Nb1 0.250 0.250 0.250
Au1 0.750 0.750 0.750

---

5.
# AcCd2Au (PBE, relaxed)
# Formation energy from the elements: -0.518 eV/atom
# Total moment: 0.01 Bohr magnetons per cell
# Symmetry: Cmcm, No. 63
data_AcCd2Au
_space_group_name_H-M_alt 'P 1'
_space_group_IT_number 1
_space_group_name_Hall 'P 1'
_cell_length_a 5.878
_cell_length_b 5.878
_cell_length_c 8.233
_cell_angle_alpha 90.00
_cell_angle_beta 90.00
_cell_angle_gamma 132.84
loop_
_atom_site_label
_atom_site_fract_x
_atom_site_fract_y
_atom_site_fract_z
Ac1 0.070 0.930 0.750
Ac2 0.930 0.070 0.250
Cd1 0.362 0.638 0.556
Cd2 0.362 0.638 0.944
Cd3 0.638 0.362 0.056
Cd4 0.638 0.362 0.444
Au1 0.224 0.776 0.250
Au2 0.776 0.224 0.750

---

6.
# Cs7NbAs4 (PBE, relaxed)
# Total moment: 0.01 Bohr magnetons per cell
# Symmetry: Pmn2_1, No. 31
# Total DFT energy (no corrections): -79.76 eV per cell
data_Cs7NbAs4
_space_group_name_H-M_alt 'P 1'
_space_group_IT_number 1
_space_group_name_Hall 'P 1'
_cell_length_a 11.239
_cell_length_b 10.066
_cell_length_c 9.066
_cell_angle_alpha 90.00
_cell_angle_beta 90.00
_cell_angle_gamma 90.00
loop_
_atom_site_label
_atom_site_fract_x
_atom_site_fract_y
_atom_site_fract_z
Cs1 0.000 0.026 0.006
Cs2 0.000 0.342 0.788
Cs3 0.000 0.888 0.517
Cs4 0.210 0.532 0.500
Cs5 0.215 0.169 0.333
Cs6 0.285 0.831 0.833
Cs7 0.290 0.468 0.000
Cs8 0.500 0.112 0.017
Cs9 0.500 0.658 0.288
Cs10 0.500 0.974 0.506
Cs11 0.710 0.468 0.000
Cs12 0.715 0.831 0.833
Cs13 0.785 0.169 0.333
Cs14 0.790 0.532 0.500
Nb1 0.000 0.672 0.122
Nb2 0.500 0.328 0.622
As1 0.000 0.429 0.196
As2 0.000 0.683 0.844
As3 0.187 0.794 0.211
As4 0.313 0.206 0.711
As5 0.500 0.317 0.344
As6 0.500 0.571 0.696
As7 0.687 0.206 0.711
As8 0.813 0.794 0.211

---

7.
# TbHoFe2Pb (PBE, relaxed)
# Total moment: 3.07 Bohr magnetons per cell
# Symmetry: Amm2, No. 38
# Total DFT energy (no corrections): -30.53 eV per cell
data_TbHoFe2Pb
_space_group_name_H-M_alt 'P 1'
_space_group_IT_number 1
_space_group_name_Hall 'P 1'
_cell_length_a 3.815
_cell_length_b 7.401
_cell_length_c 7.401
_cell_angle_alpha 30.62
_cell_angle_beta 90.00
_cell_angle_gamma 90.00
loop_
_atom_site_label
_atom_site_fract_x
_atom_site_fract_y
_atom_site_fract_z
Tb1 0.000 0.000 0.000
Ho1 0.000 0.724 0.724
Fe1 0.500 0.157 0.157
Fe2 0.500 0.569 0.569
Pb1 0.500 0.361 0.361

---

8.
# GdErPt (PBE, relaxed)
# Formation energy from the elements: -0.067 eV/atom
# Total moment: 0.00 Bohr magnetons per cell
# Symmetry: F-43m, No. 216
# ΔE to the lowest computed polymorph: 889 meV/atom
data_GdErPt
_space_group_name_H-M_alt 'P 1'
_space_group_IT_number 1
_space_group_name_Hall 'P 1'
_cell_length_a 4.757
_cell_length_b 4.757
_cell_length_c 4.757
_cell_angle_alpha 60.00
_cell_angle_beta 60.00
_cell_angle_gamma 60.00
loop_
_atom_site_label
_atom_site_fract_x
_atom_site_fract_y
_atom_site_fract_z
Gd1 0.000 0.000 0.000
Er1 0.750 0.750 0.750
Pt1 0.250 0.250 0.250